Density functional theory data (PBE) for an optimized crystal structure of AcTmOs4.

Values from the calculation:
total energy = -8.9070 eV per atom

Cell: 7.7225 7.7225 7.7225 Å, 90.00 90.00 90.00°
With the nearest neighbours (Å) after each atom.
Space group F-43m (No. 216)
Inequivalent atoms, fractional coordinates:
Ac: 0.0000 0.0000 0.0000  12 Os 3.20, 4 Tm 3.34
Tm: 0.2500 0.2500 0.2500  12 Os 3.20, 4 Ac 3.34
Os: 0.1243 0.1243 0.6243  6 Os 2.72-2.75